(1)
# TaNi

A geometry-optimized TaNi structure (GGA-PBE, Alexandria).

a b c (Å): 4.9056 4.9056 18.0155
angles (deg): 82.17 82.17 60.00
Fractional coordinates of all 26 atoms:
Ta  0.1729  0.1729  0.4814
Ta  0.6725  0.6725  0.9826
Ta  0.3275  0.3275  0.0174
Ta  0.8271  0.8271  0.5186
Ta  0.2263  0.2263  0.3211
Ta  0.7247  0.7247  0.8259
Ta  0.2753  0.2753  0.1741
Ta  0.7737  0.7737  0.6789
Ta  0.5844  0.5844  0.2467
Ta  0.0818  0.0818  0.7545
Ta  0.9182  0.9182  0.2455
Ta  0.4156  0.4156  0.7533
Ta  0.5000  0.5000  0.5000
Ni  0.2966  0.7956  0.1123
Ni  0.7990  0.2909  0.6191
Ni  0.7956  0.2966  0.1123
Ni  0.2909  0.7990  0.6191
Ni  0.7956  0.7956  0.1123
Ni  0.2909  0.2909  0.6191
Ni  0.2010  0.7091  0.3809
Ni  0.7034  0.2044  0.8877
Ni  0.7091  0.2010  0.3809
Ni  0.2044  0.7034  0.8877
Ni  0.7091  0.7091  0.3809
Ni  0.2044  0.2044  0.8877
Ni  0.0000  0.0000  0.0000

Output
DOS(E_F): 26.49 states/eV/cell
Symmetry: R-3m
Magnetization: 0.0 μB/cell
Electronic total energy: -9.08 eV per atom

---

(2)
# TaNi4

A geometry-optimized TaNi4 structure (GGA-PBE, Alexandria).

a b c (Å): 3.5881 4.4846 4.4846
angles (deg): 99.21 113.58 66.42
Fractional coordinates of all 5 atoms:
Ni  0.1938  0.2097  0.5973
Ni  0.5965  0.5973  0.7903
Ni  0.8062  0.7903  0.4027
Ni  0.4035  0.4027  0.2097
Ta  0.0000  0.0000  0.0000

Output
DOS(E_F): 6.76 states/eV/cell
Symmetry: I4/m
Magnetization: 0.0 μB/cell
Electronic total energy: -7.25 eV per atom
E above lowest polymorph: 0 meV per atom

---

(3)
# Ta3Ni

A geometry-optimized Ta3Ni structure (GGA-PBE, Alexandria).

a b c (Å): 2.8046 5.3088 5.3088
angles (deg): 116.97 100.14 100.14
Fractional coordinates of all 4 atoms:
Ni  0.0000  0.0000  0.0000
Ta  0.5000  0.5000  0.0000
Ta  0.5000  0.0000  0.5000
Ta  0.0000  0.5000  0.5000

Output
DOS(E_F): 4.87 states/eV/cell
Symmetry: R-3m
Magnetization: 0.0 μB/cell
Electronic total energy: -10.29 eV per atom

---

(4)
# TaNi2

A geometry-optimized TaNi2 structure (GGA-PBE, Alexandria).

a b c (Å): 4.9866 4.9866 6.3661
angles (deg): 71.17 71.17 32.20
Fractional coordinates of all 6 atoms:
Ta  0.6677  0.6677  0.3677
Ta  0.3323  0.3323  0.6323
Ni  0.0374  0.0374  0.7456
Ni  0.6490  0.6490  0.9663
Ni  0.3510  0.3510  0.0337
Ni  0.9626  0.9626  0.2544

Output
DOS(E_F): 5.70 states/eV/cell
Symmetry: C2/m
Magnetization: 0.0 μB/cell
Electronic total energy: -7.94 eV per atom